DFT (PBE-GGA) results for a relaxed Ta4SiGe crystal.

a b c (Å): 6.2242 6.2242 5.1599
angles (deg): 90.00 90.00 90.00
Last column: nearest neighbours and their distance in Å.
Space group P4/mcc (No. 124)
Inequivalent atoms, fractional coordinates:
Ta 0.1561 0.3317 0.0000 (multiplicity 8)  2 Si 2.62, 2 Ge 2.71, 1 Ta 2.86
Si 0.0000 0.0000 0.2500 (multiplicity 2)  2 Si 2.58, 8 Ta 2.62
Ge 0.5000 0.5000 0.2500 (multiplicity 2)  2 Ge 2.58, 8 Ta 2.71

Computed properties:
DOS(E_F) (states/eV/f.u.): 3.27
Uncorrected formation energy (eV/f.u.): -2.6
Total magnetic moment (μB/cell): 0.0

---

DFT (PBE-GGA) results for a relaxed Ta2Si2Ge crystal.

a b c (Å): 6.9011 6.9011 3.5117
angles (deg): 90.00 90.00 90.00
Last column: nearest neighbours and their distance in Å.
Space group P4/mbm (No. 127)
Inequivalent atoms, fractional coordinates:
Ta 0.1574 0.3426 0.0000 (multiplicity 4)  2 Ge 2.60, 6 Si 2.68
Si 0.1344 0.6344 0.5000 (multiplicity 4)  1 Si 2.62, 6 Ta 2.68
Ge 0.0000 0.0000 0.0000 (multiplicity 2)  4 Ta 2.60

Computed properties:
DOS(E_F) (states/eV/f.u.): 1.32
Uncorrected formation energy (eV/f.u.): -0.9
Total magnetic moment (μB/cell): 0.0
Polymorph energy (0 for the lowest one) (meV/atom): 63.7

---

DFT (PBE-GGA) results for a relaxed TaSi2Ge crystal.

a b c (Å): 5.8631 5.8631 11.0102
angles (deg): 90.00 90.00 90.00
Last column: nearest neighbours and their distance in Å.
Space group I-42d (No. 122)
Inequivalent atoms, fractional coordinates:
Ta 0.0000 0.0000 0.0000 (multiplicity 4)  4 Si 2.53
Si 0.2393 0.2500 0.6250 (multiplicity 8)  2 Ge 2.45, 2 Ta 2.53
Ge 0.0000 0.0000 0.5000 (multiplicity 4)  4 Si 2.45

Computed properties:
DOS(E_F) (states/eV/f.u.): 2.92
Uncorrected formation energy (eV/f.u.): 2.7
Total magnetic moment (μB/cell): 0.0

---

DFT (PBE-GGA) results for a relaxed Ta2SiGe crystal.

a b c (Å): 5.8159 5.8159 11.5869
angles (deg): 90.00 90.00 90.00
Last column: nearest neighbours and their distance in Å.
Space group I-42d (No. 122)
Inequivalent atoms, fractional coordinates:
Ta 0.2431 0.2500 0.1250 (multiplicity 8)  2 Si 2.49, 2 Ge 2.54
Si 0.0000 0.0000 0.0000 (multiplicity 4)  4 Ta 2.49
Ge 0.0000 0.0000 0.5000 (multiplicity 4)  4 Ta 2.54

Computed properties:
DOS(E_F) (states/eV/f.u.): 3.14
Uncorrected formation energy (eV/f.u.): 4.1
Total magnetic moment (μB/cell): 0.0

---

DFT (PBE-GGA) results for a relaxed TaSiGe3 crystal.

a b c (Å): 4.6684 4.6684 4.6684
angles (deg): 90.00 90.00 90.00
Last column: nearest neighbours and their distance in Å.
Space group Pm-3m (No. 221)
Inequivalent atoms, fractional coordinates:
Ta 0.0000 0.0000 0.0000 (multiplicity 1)  12 Ge 3.30
Si 0.5000 0.5000 0.5000 (multiplicity 1)  6 Ge 2.33
Ge 0.0000 0.5000 0.5000 (multiplicity 3)  2 Si 2.33

Computed properties:
DOS(E_F) (states/eV/f.u.): 5.17
Uncorrected formation energy (eV/f.u.): 5.7
Total magnetic moment (μB/cell): 0.0
Polymorph energy (0 for the lowest one) (meV/atom): 314.3

---

DFT (PBE-GGA) results for a relaxed TaSiGe3 crystal.

a b c (Å): 5.0131 5.0131 5.0131
angles (deg): 90.00 90.00 90.00
Last column: nearest neighbours and their distance in Å.
Space group Pm-3m (No. 221)
Inequivalent atoms, fractional coordinates:
Ta 0.0000 0.0000 0.0000 (multiplicity 1)  6 Ge 2.51
Si 0.5000 0.5000 0.5000 (multiplicity 1)  12 Ge 3.54
Ge 0.0000 0.0000 0.5000 (multiplicity 3)  2 Ta 2.51

Computed properties:
DOS(E_F) (states/eV/f.u.): 5.49
Uncorrected formation energy (eV/f.u.): 4.2
Total magnetic moment (μB/cell): 0.0
Polymorph energy (0 for the lowest one) (meV/atom): 0.0

---

DFT (PBE-GGA) results for a relaxed Ta2SiGe crystal.

a b c (Å): 3.6521 3.6521 18.3406
angles (deg): 90.00 90.00 120.00
Last column: nearest neighbours and their distance in Å.
Space group R-3m (No. 166, hexagonal axes)
Inequivalent atoms, fractional coordinates:
Ta 0.0000 0.0000 0.2419 (multiplicity 6)  3 Si 2.52, 3 Ge 2.69
Si 0.0000 0.0000 0.5000 (multiplicity 3)  6 Ta 2.52
Ge 0.0000 0.0000 0.0000 (multiplicity 3)  6 Ta 2.69

Computed properties:
DOS(E_F) (states/eV/f.u.): 2.04
Uncorrected formation energy (eV/f.u.): -0.1
Total magnetic moment (μB/cell): 0.0

---

DFT (PBE-GGA) results for a relaxed Ta2Si2Ge crystal.

a b c (Å): 3.4319 3.4319 13.9104
angles (deg): 90.00 90.00 90.00
Last column: nearest neighbours and their distance in Å.
Space group I4/mmm (No. 139)
Inequivalent atoms, fractional coordinates:
Ta 0.0000 0.0000 0.1040 (multiplicity 4)  4 Si 2.66, 4 Ge 2.82, 1 Ta 2.89
Si 0.0000 0.5000 0.2500 (multiplicity 4)  4 Si 2.43, 4 Ta 2.66
Ge 0.0000 0.0000 0.5000 (multiplicity 2)  8 Ta 2.82

Computed properties:
DOS(E_F) (states/eV/f.u.): 2.85
Uncorrected formation energy (eV/f.u.): -1.2
Total magnetic moment (μB/cell): 0.0
Polymorph energy (0 for the lowest one) (meV/atom): 0.0

---

DFT (PBE-GGA) results for a relaxed TaZnSi2Ge crystal.

a b c (Å): 4.6273 4.6273 4.9579
angles (deg): 90.00 90.00 90.00
Last column: nearest neighbours and their distance in Å.
Space group P4/mmm (No. 123)
Inequivalent atoms, fractional coordinates:
Ta 0.0000 0.0000 0.0000 (multiplicity 1)  2 Ge 2.48
Zn 0.5000 0.5000 0.0000 (multiplicity 1)  4 Ta 3.27, 8 Si 3.39
Si 0.0000 0.5000 0.5000 (multiplicity 2)  2 Ge 2.31
Ge 0.0000 0.0000 0.5000 (multiplicity 1)  4 Si 2.31, 2 Ta 2.48

Computed properties:
DOS(E_F) (states/eV/f.u.): 4.44
Uncorrected formation energy (eV/f.u.): 6.3
Total magnetic moment (μB/cell): 0.0

---

DFT (PBE-GGA) results for a relaxed TbSiGe2 crystal.

a b c (Å): 4.3249 4.3249 4.1837
angles (deg): 90.00 90.00 90.00
Last column: nearest neighbours and their distance in Å.
Space group P4/mmm (No. 123)
Inequivalent atoms, fractional coordinates:
Tb 0.0000 0.0000 0.0000 (multiplicity 1)  8 Ge 3.01, 4 Si 3.06
Si 0.5000 0.5000 0.0000 (multiplicity 1)  8 Ge 3.01, 4 Tb 3.06
Ge 0.0000 0.5000 0.5000 (multiplicity 2)  4 Tb 3.01, 4 Si 3.01, 4 Ge 3.06

Computed properties:
DOS(E_F) (states/eV/f.u.): 1.84
Uncorrected formation energy (eV/f.u.): -1.3
Total magnetic moment (μB/cell): 0.0
Polymorph energy (0 for the lowest one) (meV/atom): 0.0

---

DFT (PBE-GGA) results for a relaxed Tb6Si3Ge crystal.

a b c (Å): 6.0702 8.0525 12.3771
angles (deg): 90.00 119.26 90.00
Last column: nearest neighbours and their distance in Å.
Space group P2_1/c (No. 14)
Inequivalent atoms, fractional coordinates:
Tb 0.0493 0.1779 0.4211 (multiplicity 4)  1 Ge 2.81, 3 Si 2.84-3.02
Tb 0.2910 0.6747 0.4212 (multiplicity 4)  3 Si 2.78-3.03, 1 Ge 2.87
Tb 0.3805 0.0445 0.2486 (multiplicity 4)  3 Si 2.83-3.06, 1 Ge 2.85
Si 0.0000 0.0000 0.0000 (multiplicity 2)  6 Tb 2.78-2.84
Si 0.1600 0.1153 0.7495 (multiplicity 4)  6 Tb 2.99-3.06
Ge 0.5000 0.0000 0.5000 (multiplicity 2)  6 Tb 2.81-2.87

Computed properties:
DOS(E_F) (states/eV/f.u.): 5.97
Uncorrected formation energy (eV/f.u.): -5.5
Total magnetic moment (μB/cell): 2.1

---

DFT (PBE-GGA) results for a relaxed Tb3Si2Ge2 crystal.

a b c (Å): 10.6963 4.1289 7.4925
angles (deg): 90.00 114.71 90.00
Last column: nearest neighbours and their distance in Å.
Space group C2/m (No. 12)
Inequivalent atoms, fractional coordinates:
Tb 0.0000 0.0000 0.0000 (multiplicity 2)  6 Si 3.09-3.14, 4 Ge 3.18
Tb 0.1827 0.0000 0.6418 (multiplicity 4)  3 Si 2.93-2.94, 5 Ge 2.94-3.18
Si 0.1937 0.5000 0.9255 (multiplicity 4)  2 Si 2.42, 1 Ge 2.45
Ge 0.0378 0.5000 0.3412 (multiplicity 4)  1 Si 2.45

Computed properties:
DOS(E_F) (states/eV/f.u.): 3.34
Uncorrected formation energy (eV/f.u.): -5.3
Total magnetic moment (μB/cell): 0.0

---

DFT (PBE-GGA) results for a relaxed Tb7Si2Ge2 crystal.

a b c (Å): 7.5882 10.7199 7.2062
angles (deg): 90.00 90.00 90.00
Last column: nearest neighbours and their distance in Å.
Space group Cmmm (No. 65)
Inequivalent atoms, fractional coordinates:
Tb 0.0000 0.0000 0.0000 (multiplicity 2)  2 Ge 3.12
Tb 0.0000 0.5000 0.2638 (multiplicity 4)  2 Ge 2.94, 2 Si 3.07, 4 Tb 3.29
Tb 0.2500 0.2500 0.2861 (multiplicity 8)  2 Ge 2.84, 1 Tb 3.08, 2 Si 3.16
Si 0.1629 0.0000 0.5000 (multiplicity 4)  1 Si 2.47
Ge 0.0000 0.2913 0.0000 (multiplicity 4)  7 Tb 2.84-3.12

Computed properties:
DOS(E_F) (states/eV/f.u.): 10.20
Uncorrected formation energy (eV/f.u.): -3.7
Total magnetic moment (μB/cell): 0.0

---

DFT (PBE-GGA) results for a relaxed Tb2SiGe3 crystal.

a b c (Å): 7.9253 7.9255 16.3948
angles (deg): 90.00 90.00 90.00
Last column: nearest neighbours and their distance in Å.
Space group Fmmm (No. 69)
Inequivalent atoms, fractional coordinates:
Tb 0.0000 0.2496 0.0000 (multiplicity 8)  8 Ge 3.10, 2 Si 3.39
Tb 0.2500 0.2500 0.2500 (multiplicity 8)  4 Ge 3.03, 4 Si 3.11
Si 0.0000 0.0000 0.1678 (multiplicity 8)  3 Ge 2.44-2.51
Ge 0.0000 0.0000 0.3209 (multiplicity 8)  1 Si 2.51, 2 Ge 2.56
Ge 0.2498 0.0000 0.0808 (multiplicity 16)  1 Si 2.44, 2 Ge 2.56-2.65

Computed properties:
DOS(E_F) (states/eV/f.u.): 2.78
Uncorrected formation energy (eV/f.u.): -3.1
Total magnetic moment (μB/cell): 0.0

---

DFT (PBE-GGA) results for a relaxed Tb3Si2Ge2 crystal.

a b c (Å): 3.9615 4.2491 17.8359
angles (deg): 90.00 90.00 90.00
Last column: nearest neighbours and their distance in Å.
Space group Immm (No. 71)
Inequivalent atoms, fractional coordinates:
Tb 0.0000 0.0000 0.0000 (multiplicity 2)  8 Si 3.13, 4 Ge 3.46
Tb 0.0000 0.5000 0.3194 (multiplicity 4)  5 Ge 2.95-2.97, 2 Si 2.96
Si 0.0000 0.0000 0.4352 (multiplicity 4)  1 Si 2.31, 2 Ge 2.53
Ge 0.0000 0.5000 0.1531 (multiplicity 4)  2 Si 2.53

Computed properties:
DOS(E_F) (states/eV/f.u.): 2.70
Uncorrected formation energy (eV/f.u.): -5.3
Total magnetic moment (μB/cell): 0.0

---

DFT (PBE-GGA) results for a relaxed TbSiGe2 crystal.

a b c (Å): 4.8260 4.8260 19.4146
angles (deg): 90.00 90.00 120.00
Last column: nearest neighbours and their distance in Å.
Space group R-3m (No. 166, hexagonal axes)
Inequivalent atoms, fractional coordinates:
Tb 0.0000 0.0000 0.0000 (multiplicity 3)  6 Ge 2.95
Si 0.0000 0.0000 0.5000 (multiplicity 3)  2 Ge 2.27
Ge 0.0000 0.0000 0.3833 (multiplicity 6)  1 Si 2.27

Computed properties:
DOS(E_F) (states/eV/f.u.): 3.23
Uncorrected formation energy (eV/f.u.): 1.6
Total magnetic moment (μB/cell): 0.0
Polymorph energy (0 for the lowest one) (meV/atom): 713.0

---

DFT (PBE-GGA) results for a relaxed Tb2SiGe crystal.

a b c (Å): 3.9293 4.3002 10.6728
angles (deg): 90.00 90.00 90.00
Last column: nearest neighbours and their distance in Å.
Space group Amm2 (No. 38)
Inequivalent atoms, fractional coordinates:
Tb 0.0000 0.0000 0.0000 (multiplicity 2)  4 Si 2.98, 3 Ge 3.01-3.17
Tb 0.5000 0.0000 0.2781 (multiplicity 2)  4 Ge 2.98, 3 Si 2.99-3.19
Si 0.5000 0.0000 0.5577 (multiplicity 2)  2 Ge 2.60
Ge 0.0000 0.0000 0.7180 (multiplicity 2)  2 Si 2.60

Computed properties:
DOS(E_F) (states/eV/f.u.): 3.29
Uncorrected formation energy (eV/f.u.): -3.4
Total magnetic moment (μB/cell): 0.0

---

DFT (PBE-GGA) results for a relaxed Tb2SiGe2 crystal.

a b c (Å): 10.8568 4.0999 10.9481
angles (deg): 90.00 117.67 90.00
Last column: nearest neighbours and their distance in Å.
Space group C2/m (No. 12)
Inequivalent atoms, fractional coordinates:
Tb 0.0942 0.0000 0.4010 (multiplicity 4)  2 Si 2.91, 6 Ge 2.98-3.19
Tb 0.1978 0.5000 0.1467 (multiplicity 4)  7 Ge 3.09-3.19, 4 Si 3.10-3.40
Si 0.0677 0.5000 0.7985 (multiplicity 4)  3 Ge 2.46
Ge 0.0485 0.0000 0.9127 (multiplicity 4)  2 Si 2.46, 1 Ge 2.57
Ge 0.1378 0.5000 0.6145 (multiplicity 4)  1 Si 2.46

Computed properties:
DOS(E_F) (states/eV/f.u.): 2.31
Uncorrected formation energy (eV/f.u.): -3.3
Total magnetic moment (μB/cell): 0.0

---

DFT (PBE-GGA) results for a relaxed Tb3SiGe3 crystal.

a b c (Å): 10.7425 4.2556 13.8851
angles (deg): 90.00 106.73 90.00
Last column: nearest neighbours and their distance in Å.
Space group C2/m (No. 12)
Inequivalent atoms, fractional coordinates:
Tb 0.0059 0.0000 0.3766 (multiplicity 4)  6 Ge 2.99-3.10, 3 Si 3.07-3.13
Tb 0.1089 0.0000 0.9248 (multiplicity 4)  7 Ge 2.94-3.23
Tb 0.2280 0.0000 0.2309 (multiplicity 4)  2 Si 2.95, 6 Ge 3.01-3.18
Si 0.2200 0.5000 0.3763 (multiplicity 4)  4 Ge 2.63-2.70
Ge 0.0055 0.5000 0.2250 (multiplicity 4)  1 Si 2.63, 1 Ge 2.67
Ge 0.1183 0.5000 0.0768 (multiplicity 4)  2 Ge 2.67-2.81, 3 Tb 2.94-2.98
Ge 0.1363 0.5000 0.5363 (multiplicity 4)  3 Si 2.63-2.70, 1 Ge 2.81

Computed properties:
DOS(E_F) (states/eV/f.u.): 3.16
Uncorrected formation energy (eV/f.u.): -5.0
Total magnetic moment (μB/cell): 0.0

---

DFT (PBE-GGA) results for a relaxed Tb4SiGe3 crystal.

a b c (Å): 3.9490 4.3113 10.7276
angles (deg): 90.00 90.00 90.00
Last column: nearest neighbours and their distance in Å.
Space group Pmm2 (No. 25)
Inequivalent atoms, fractional coordinates:
Tb 0.0000 0.0000 0.0000 (multiplicity 1)  1 Si 2.98, 6 Ge 2.99-3.24
Tb 0.0000 0.5000 0.4960 (multiplicity 1)  5 Ge 2.98-2.99, 2 Si 3.18
Tb 0.5000 0.0000 0.7204 (multiplicity 1)  7 Ge 2.98-3.22
Tb 0.5000 0.5000 0.2213 (multiplicity 1)  3 Ge 2.98-3.18, 4 Si 2.99
Si 0.0000 0.0000 0.2782 (multiplicity 1)  2 Ge 2.63
Ge 0.0000 0.5000 0.7742 (multiplicity 1)  2 Ge 2.68, 5 Tb 2.98
Ge 0.5000 0.0000 0.4394 (multiplicity 1)  2 Si 2.63
Ge 0.5000 0.5000 0.9435 (multiplicity 1)  2 Ge 2.68, 5 Tb 2.98-2.99

Computed properties:
DOS(E_F) (states/eV/f.u.): 5.41
Uncorrected formation energy (eV/f.u.): -6.9
Total magnetic moment (μB/cell): 0.0